(1)
A relaxed LiCaCu2Si2 crystal. Source: Alexandria, functional GGA-PBE.

a = 4.112 Å, b = 4.112 Å, c = 6.741 Å
α = 90.00°, β = 90.00°, γ = 120.00°
Positions (direct):
Si 0.667 0.333 0.698
Si 0.333 0.667 0.302
Cu 0.667 0.333 0.331
Cu 0.333 0.667 0.669
Ca 0.000 0.000 0.000
Li 0.000 0.000 0.500

Computed properties:
Density of states at the Fermi level = 2.197 states/eV/cell
ΔE_f (raw) = -0.333 eV per atom
Crystal system = trigonal

---

(2)
A relaxed Mg4Ta3 crystal. Source: Alexandria, functional GGA-PBE.

a = 13.553 Å, b = 13.553 Å, c = 13.553 Å
α = 166.10°, β = 166.10°, γ = 19.70°
Positions (direct):
Ta 0.275 0.275 0.000
Ta 0.000 0.000 0.000
Ta 0.725 0.725 0.000
Mg 0.573 0.573 0.000
Mg 0.427 0.427 0.000
Mg 0.849 0.849 0.000
Mg 0.151 0.151 0.000

Computed properties:
Density of states at the Fermi level = 5.734 states/eV/cell
Crystal system = tetragonal
Energy of formation = 336 meV per atom
Energy relative to the lowest polymorph listed for this composition = 0.046 eV/atom

---

(3)
A relaxed CaLaGd2 crystal. Source: Alexandria, functional GGA-PBE.

a = 3.605 Å, b = 3.605 Å, c = 12.880 Å
α = 81.96°, β = 81.96°, γ = 60.00°
Positions (direct):
Ca 0.000 0.000 0.000
Gd 0.089 0.089 0.732
Gd 0.911 0.911 0.268
La 0.500 0.500 0.500

Computed properties:
Density of states at the Fermi level = 5.596 states/eV/cell
Crystal system = trigonal
Energy of formation = 142 meV per atom
Energy relative to the lowest polymorph listed for this composition = 0.089 eV/atom

---

(4)
A relaxed Cs3RbZr crystal. Source: Alexandria, functional GGA-PBE.

a = 7.916 Å, b = 7.916 Å, c = 7.916 Å
α = 90.00°, β = 90.00°, γ = 90.00°
Positions (direct):
Cs 0.000 0.500 0.000
Cs 0.500 0.000 0.000
Cs 0.000 0.000 0.500
Rb 0.000 0.000 0.000
Zr 0.500 0.500 0.500

Computed properties:
Density of states at the Fermi level = 36.112 states/eV/cell
Crystal system = cubic
Energy of formation = 1221 meV per atom
Energy relative to the lowest polymorph listed for this composition = 0.384 eV/atom

---

(5)
A relaxed Ba2PO5 crystal. Source: Alexandria, functional GGA-PBE.

a = 5.882 Å, b = 5.882 Å, c = 5.754 Å
α = 120.74°, β = 120.74°, γ = 90.00°
Positions (direct):
Ba 0.241 0.741 0.482
Ba 0.741 0.241 0.482
P 0.964 0.964 0.927
O 0.822 0.822 0.033
O 0.822 0.210 0.033
O 0.766 0.766 0.532
O 0.210 0.822 0.033
O 0.210 0.210 0.033

Computed properties:
ΔE_f (raw) = -2.395 eV per atom
Crystal system = tetragonal

---

(6)
A relaxed Cs12Ag3Pd5 crystal. Source: Alexandria, functional GGA-PBE.

a = 18.346 Å, b = 18.346 Å, c = 18.346 Å
α = 109.47°, β = 109.47°, γ = 109.47°
Positions (direct):
Cs 0.179 0.089 0.708
Cs 0.590 0.619 0.411
Cs 0.590 0.971 0.679
Cs 0.529 0.208 0.119
Cs 0.679 0.208 0.589
Cs 0.410 0.029 0.321
Cs 0.292 0.411 0.821
Cs 0.792 0.471 0.381
Cs 0.089 0.910 0.381
Cs 0.792 0.321 0.911
Cs 0.708 0.589 0.179
Cs 0.381 0.971 0.792
Cs 0.529 0.321 0.910
Cs 0.471 0.792 0.881
Cs 0.208 0.529 0.619
Cs 0.619 0.029 0.208
Cs 0.821 0.911 0.292
Cs 0.119 0.708 0.529
Cs 0.821 0.910 0.029
Cs 0.971 0.381 0.292
Cs 0.911 0.821 0.792
Cs 0.910 0.821 0.529
Cs 0.179 0.090 0.971
Cs 0.321 0.529 0.410
Cs 0.381 0.410 0.089
Cs 0.881 0.589 0.910
Cs 0.619 0.590 0.911
Cs 0.910 0.089 0.881
Cs 0.589 0.708 0.679
Cs 0.090 0.179 0.471
Cs 0.089 0.179 0.208
Cs 0.911 0.090 0.619
Cs 0.410 0.381 0.589
Cs 0.029 0.410 0.821
Cs 0.589 0.881 0.410
Cs 0.411 0.292 0.321
Cs 0.292 0.881 0.971
Cs 0.881 0.292 0.471
Cs 0.471 0.679 0.090
Cs 0.411 0.119 0.590
Cs 0.708 0.119 0.029
Cs 0.321 0.792 0.411
Cs 0.679 0.471 0.590
Cs 0.029 0.619 0.708
Cs 0.119 0.411 0.090
Cs 0.971 0.590 0.179
Cs 0.208 0.679 0.089
Cs 0.090 0.911 0.119
Ag 0.125 0.875 0.750
Ag 0.375 0.625 0.250
Ag 0.750 0.375 0.125
Ag 0.875 0.750 0.125
Ag 0.250 0.625 0.875
Ag 0.875 0.125 0.250
Ag 0.125 0.250 0.875
Ag 0.250 0.125 0.375
Ag 0.625 0.250 0.375
Ag 0.375 0.750 0.625
Ag 0.750 0.875 0.625
Ag 0.625 0.375 0.750
Pd 0.750 0.125 0.875
Pd 0.000 0.500 0.000
Pd 0.375 0.125 0.750
Pd 0.875 0.250 0.625
Pd 0.875 0.625 0.750
Pd 0.375 0.250 0.125
Pd 0.125 0.750 0.375
Pd 0.250 0.875 0.125
Pd 0.500 0.500 0.000
Pd 0.250 0.375 0.625
Pd 0.000 0.000 0.500
Pd 0.000 0.500 0.500
Pd 0.125 0.375 0.250
Pd 0.500 0.000 0.500
Pd 0.625 0.875 0.250
Pd 0.500 0.500 0.500
Pd 0.000 0.000 0.000
Pd 0.625 0.750 0.875
Pd 0.500 0.000 0.000
Pd 0.750 0.625 0.375

Computed properties:
Density of states at the Fermi level = 38.879 states/eV/cell
Crystal system = cubic
Energy of formation = 157 meV per atom

---

(7)
A relaxed Li2AgPb crystal. Source: Alexandria, functional GGA-PBE.

a = 3.105 Å, b = 4.320 Å, c = 5.951 Å
α = 90.00°, β = 90.00°, γ = 90.00°
Positions (direct):
Li 0.500 0.500 0.247
Li 0.000 0.000 0.982
Ag 0.500 0.500 0.780
Pb 0.000 0.000 0.491

Computed properties:
Density of states at the Fermi level = 1.101 states/eV/cell
Crystal system = orthorhombic
Energy of formation = -148 meV per atom

---

(8)
A relaxed LaPu2Fe crystal. Source: Alexandria, functional GGA-PBE.

a = 4.306 Å, b = 4.306 Å, c = 6.057 Å
α = 69.18°, β = 69.18°, γ = 60.00°
Positions (direct):
Fe 0.000 0.000 0.000
Pu 0.329 0.329 0.014
Pu 0.671 0.671 0.986
La 0.500 0.500 0.500

Computed properties:
Density of states at the Fermi level = 6.401 states/eV/cell
Crystal system = trigonal
Energy of formation = 436 meV per atom
Energy relative to the lowest polymorph listed for this composition = 0.291 eV/atom

---

(9)
A relaxed TaCo2Re2 crystal. Source: Alexandria, functional GGA-PBE.

a = 7.216 Å, b = 7.216 Å, c = 2.663 Å
α = 90.00°, β = 90.00°, γ = 90.00°
Positions (direct):
Re 0.175 0.675 0.500
Re 0.675 0.825 0.500
Re 0.325 0.175 0.500
Re 0.825 0.325 0.500
Ta 0.500 0.500 0.000
Ta 0.000 0.000 0.000
Co 0.881 0.619 0.000
Co 0.119 0.381 0.000
Co 0.619 0.119 0.000
Co 0.381 0.881 0.000

Computed properties:
Density of states at the Fermi level = 8.008 states/eV/cell
Crystal system = tetragonal
Energy of formation = 16 meV per atom

---

(10)
A relaxed Nb2AlGa2 crystal. Source: Alexandria, functional GGA-PBE.

a = 2.905 Å, b = 4.331 Å, c = 6.921 Å
α = 108.19°, β = 90.00°, γ = 90.00°
Positions (direct):
Ga 0.000 0.196 0.393
Ga 0.000 0.804 0.607
Nb 0.500 0.605 0.210
Nb 0.500 0.395 0.790
Al 0.000 0.000 0.000

Computed properties:
Density of states at the Fermi level = 2.710 states/eV/cell
Crystal system = orthorhombic
Energy of formation = -219 meV per atom
Energy relative to the lowest polymorph listed for this composition = 0.000 eV/atom

---

(11)
A relaxed Ce3Cu4Pd2 crystal. Source: Alexandria, functional GGA-PBE.

a = 4.414 Å, b = 5.634 Å, c = 8.207 Å
α = 72.50°, β = 74.40°, γ = 66.94°
Positions (direct):
Cu 0.953 0.705 0.389
Cu 0.276 0.401 0.047
Cu 0.724 0.599 0.953
Cu 0.047 0.295 0.611
Pd 0.608 0.055 0.729
Pd 0.392 0.945 0.271
Ce 0.000 0.000 0.000
Ce 0.329 0.677 0.664
Ce 0.671 0.323 0.336

Computed properties:
Density of states at the Fermi level = 17.459 states/eV/cell
Crystal system = monoclinic
Energy of formation = -353 meV per atom

---

(12)
A relaxed LiErAl3Cu crystal. Source: Alexandria, functional GGA-PBE.

a = 5.912 Å, b = 5.934 Å, c = 6.959 Å
α = 115.24°, β = 90.00°, γ = 90.00°
Positions (direct):
Al 0.250 0.136 0.273
Al 0.000 0.284 0.000
Al 0.500 0.716 0.000
Al 0.500 0.284 0.000
Al 0.750 0.864 0.727
Al 0.000 0.716 0.000
Er 0.750 0.294 0.588
Er 0.250 0.706 0.412
Cu 0.750 0.080 0.159
Cu 0.250 0.920 0.841
Li 0.750 0.650 0.301
Li 0.250 0.350 0.699

Computed properties:
Density of states at the Fermi level = 5.512 states/eV/cell
Crystal system = orthorhombic
Energy of formation = -124 meV per atom

---

(13)
A relaxed Cr2CdNi crystal. Source: Alexandria, functional GGA-PBE.

a = 2.684 Å, b = 4.031 Å, c = 5.228 Å
α = 90.00°, β = 90.00°, γ = 90.00°
Positions (direct):
Cr 0.000 0.000 0.067
Cr 0.000 0.000 0.433
Cd 0.500 0.500 0.750
Ni 0.500 0.500 0.250

Computed properties:
Density of states at the Fermi level = 3.360 states/eV/cell
Crystal system = orthorhombic
Energy of formation = 387 meV per atom

---

(14)
A relaxed La2Y8Tm crystal. Source: Alexandria, functional GGA-PBE.

a = 5.930 Å, b = 9.088 Å, c = 9.236 Å
α = 60.53°, β = 75.10°, γ = 58.50°
Positions (direct):
La 0.000 0.695 0.610
La 0.000 0.305 0.390
Y 0.165 0.902 0.774
Y 0.835 0.098 0.226
Y 0.299 0.420 0.000
Y 0.701 0.580 0.000
Y 0.500 0.792 0.416
Y 0.835 0.325 0.774
Y 0.500 0.208 0.584
Y 0.165 0.675 0.226
Tm 0.500 0.000 0.000

Computed properties:
Density of states at the Fermi level = 15.551 states/eV/cell
Crystal system = monoclinic
Energy of formation = 160 meV per atom

---

(15)
A relaxed NbPI2O crystal. Source: Alexandria, functional GGA-PBE.

a = 5.625 Å, b = 5.625 Å, c = 3.880 Å
α = 90.00°, β = 90.00°, γ = 90.00°
Positions (direct):
I 0.000 0.500 0.000
I 0.500 0.000 0.000
O 0.000 0.000 0.500
P 0.500 0.500 0.500
Nb 0.000 0.000 0.000

Computed properties:
Density of states at the Fermi level = 4.457 states/eV/cell
ΔE_f (raw) = -0.106 eV per atom
Crystal system = tetragonal
Energy relative to the lowest polymorph listed for this composition = 0.000 eV/atom

---

(16)
A relaxed Sr2CoPt2 crystal. Source: Alexandria, functional GGA-PBE.

a = 6.924 Å, b = 6.924 Å, c = 4.723 Å
α = 90.00°, β = 90.00°, γ = 90.00°
Positions (direct):
Co 0.000 0.000 0.000
Co 0.500 0.500 0.000
Sr 0.825 0.325 0.500
Sr 0.675 0.825 0.500
Sr 0.325 0.175 0.500
Sr 0.175 0.675 0.500
Pt 0.860 0.640 0.000
Pt 0.640 0.140 0.000
Pt 0.140 0.360 0.000
Pt 0.360 0.860 0.000

Computed properties:
Density of states at the Fermi level = 9.391 states/eV/cell
Crystal system = tetragonal
Energy of formation = -316 meV per atom

---

(17)
A relaxed Nd12Tl4InO3 crystal. Source: Alexandria, functional GGA-PBE.

a = 9.018 Å, b = 9.018 Å, c = 9.018 Å
α = 109.47°, β = 109.47°, γ = 109.47°
Positions (direct):
Tl 0.500 0.500 0.500
Tl 0.000 0.000 0.500
Tl 0.500 0.000 0.000
Tl 0.000 0.500 0.000
Nd 0.726 0.726 0.000
Nd 0.000 0.274 0.274
Nd 0.000 0.726 0.726
Nd 0.750 0.500 0.250
Nd 0.500 0.750 0.250
Nd 0.250 0.500 0.750
Nd 0.250 0.750 0.500
Nd 0.500 0.250 0.750
Nd 0.726 0.000 0.726
Nd 0.274 0.274 0.000
Nd 0.750 0.250 0.500
Nd 0.274 0.000 0.274
In 0.000 0.000 0.000
O 0.500 0.000 0.500
O 0.000 0.500 0.500
O 0.500 0.500 0.000

Computed properties:
Density of states at the Fermi level = 11.317 states/eV/cell
ΔE_f (raw) = -0.887 eV per atom
Crystal system = cubic

---

(18)
A relaxed BaPmSiHg crystal. Source: Alexandria, functional GGA-PBE.

a = 5.513 Å, b = 5.513 Å, c = 5.513 Å
α = 60.00°, β = 60.00°, γ = 60.00°
Positions (direct):
Ba 0.750 0.750 0.750
Hg 0.000 0.000 0.000
Pm 0.250 0.250 0.250
Si 0.500 0.500 0.500

Computed properties:
Density of states at the Fermi level = 4.245 states/eV/cell
ΔE_f (raw) = -0.287 eV per atom
Crystal system = cubic

---

(19)
A relaxed SrCuPb2 crystal. Source: Alexandria, functional GGA-PBE.

a = 3.799 Å, b = 3.799 Å, c = 7.730 Å
α = 90.00°, β = 90.00°, γ = 96.04°
Positions (direct):
Cu 0.500 0.500 0.750
Pb 0.000 0.000 0.552
Pb 0.000 0.000 0.948
Sr 0.500 0.500 0.250

Computed properties:
Density of states at the Fermi level = 1.728 states/eV/cell
Crystal system = orthorhombic
Energy of formation = -43 meV per atom

---

(20)
A relaxed PrEu2Ge crystal. Source: Alexandria, functional GGA-PBE.

a = 5.089 Å, b = 4.803 Å, c = 4.803 Å
α = 90.00°, β = 90.00°, γ = 90.00°
Positions (direct):
Eu 0.000 0.000 0.500
Eu 0.000 0.500 0.000
Ge 0.500 0.500 0.500
Pr 0.500 0.000 0.000

Computed properties:
Density of states at the Fermi level = 3.560 states/eV/cell
Crystal system = tetragonal
Energy of formation = -291 meV per atom

---

(21)
A relaxed Ac3TbTl4Se8 crystal. Source: Alexandria, functional GGA-PBE.

a = 8.967 Å, b = 9.303 Å, c = 8.966 Å
α = 118.83°, β = 120.00°, γ = 90.00°
Positions (direct):
Ac 0.500 0.500 0.500
Ac 0.000 0.500 0.500
Ac 0.500 0.500 0.000
Se 0.754 0.712 0.983
Se 0.771 0.288 0.017
Se 0.246 0.288 0.017
Se 0.740 0.720 0.480
Se 0.229 0.712 0.459
Se 0.229 0.712 0.983
Se 0.771 0.288 0.541
Se 0.260 0.280 0.520
Tl 0.000 0.000 0.000
Tl 0.000 0.000 0.500
Tl 0.500 0.000 0.500
Tl 0.500 0.000 0.000
Tb 0.000 0.500 0.000

Computed properties:
Density of states at the Fermi level = 0.000 states/eV/cell
ΔE_f (raw) = -1.416 eV per atom
Crystal system = trigonal